(1)
The following is a GGA-PBE calculation of an optimized crystal structure of PmZrAu, from OQMD.

## Properties
**E_tot**: -15.726 eV for the cell shown
**E_form**: 0.28 eV/atom

Lattice parameters (Å, degrees): 4.7664 4.7664 4.7664 60.00 60.00 60.00
Atoms (fractional coordinates):
Pm (0.0000, 0.0000, 0.0000)
Zr (0.7500, 0.7500, 0.7500)
Au (0.5000, 0.5000, 0.5000)

=====

(2)
The following is a GGA-PBE calculation of an optimized crystal structure of BeInCoGe, from OQMD.

## Properties
**Relative energy among the computed polymorphs**: 0 meV/atom
**E_tot**: -16.547 eV for the cell shown

Lattice parameters (Å, degrees): 4.3323 4.3323 4.3323 60.00 60.00 60.00
Atoms (fractional coordinates):
Be (0.0000, 0.0000, 0.0000)
In (0.7500, 0.7500, 0.7500)
Co (0.5000, 0.5000, 0.5000)
Ge (0.2500, 0.2500, 0.2500)

=====

(3)
The following is a GGA-PBE calculation of an optimized crystal structure of PmPrTl2, from OQMD.

## Properties
**E_tot**: -15.826 eV for the cell shown

Lattice parameters (Å, degrees): 3.8959 3.8959 7.7753 90.00 90.00 90.00
Atoms (fractional coordinates):
Pm (0.0000, 0.0000, 0.0000)
Pr (0.0000, 0.0000, 0.5000)
Tl (0.5000, 0.5000, 0.2443)
Tl (0.5000, 0.5000, 0.7557)

=====

(4)
The following is a GGA-PBE calculation of an optimized crystal structure of CsDyAs, from OQMD.

## Properties
**E_tot**: -10.176 eV for the cell shown

Lattice parameters (Å, degrees): 5.3324 5.3324 5.3324 60.00 60.00 60.00
Atoms (fractional coordinates):
Cs (0.0000, 0.0000, 0.0000)
Dy (0.5000, 0.5000, 0.5000)
As (0.2500, 0.2500, 0.2500)

=====

(5)
The following is a GGA-PBE calculation of an optimized crystal structure of PIrPbO, from OQMD.

## Properties
**Relative energy among the computed polymorphs**: 0 meV/atom
**E_tot**: -51.760 eV for the cell shown

Lattice parameters (Å, degrees): 3.9496 3.9496 9.9939 90.00 90.00 90.00
Atoms (fractional coordinates):
P (0.2500, 0.2500, 0.1287)
P (0.7500, 0.7500, 0.8713)
Ir (0.2500, 0.7500, 0.0000)
Ir (0.7500, 0.2500, 0.0000)
Pb (0.2500, 0.2500, 0.6229)
Pb (0.7500, 0.7500, 0.3771)
O (0.2500, 0.7500, 0.5000)
O (0.7500, 0.2500, 0.5000)

=====

(6)
The following is a GGA-PBE calculation of an optimized crystal structure of PrZnAg2, from OQMD.

## Properties
**E_tot**: -24.507 eV for the cell shown
**E_form**: -0.14 eV/atom

Lattice parameters (Å, degrees): 4.8537 5.3618 7.1108 90.00 90.00 90.00
Atoms (fractional coordinates):
Pr (0.0000, 0.0277, 0.0000)
Pr (0.0000, 0.9723, 0.5000)
Zn (0.5000, 0.2666, 0.7016)
Zn (0.5000, 0.7334, 0.2016)
Ag (0.0000, 0.4878, 0.7430)
Ag (0.0000, 0.5122, 0.2430)
Ag (0.5000, 0.2417, 0.2920)
Ag (0.5000, 0.7583, 0.7920)

=====

(7)
The following is a GGA-PBE calculation of an optimized crystal structure of LaBiAu2, from OQMD.

## Properties
**E_tot**: -70.898 eV for the cell shown

Lattice parameters (Å, degrees): 8.6616 7.3224 6.5810 90.00 90.00 90.00
Atoms (fractional coordinates):
La (0.0267, 0.2500, 0.1644)
La (0.4733, 0.7500, 0.6644)
La (0.5267, 0.2500, 0.3356)
La (0.9733, 0.7500, 0.8356)
Bi (0.0577, 0.7500, 0.3331)
Bi (0.4423, 0.2500, 0.8331)
Bi (0.5577, 0.7500, 0.1669)
Bi (0.9423, 0.2500, 0.6669)
Au (0.2345, 0.0455, 0.5219)
Au (0.2345, 0.4545, 0.5219)
Au (0.2655, 0.5455, 0.0219)
Au (0.2655, 0.9545, 0.0219)
Au (0.7345, 0.0455, 0.9781)
Au (0.7345, 0.4545, 0.9781)
Au (0.7655, 0.5455, 0.4781)
Au (0.7655, 0.9545, 0.4781)

=====

(8)
The following is a GGA-PBE calculation of an optimized crystal structure of Hf3CuN2, from OQMD.

## Properties
**E_tot**: -114.135 eV for the cell shown

Lattice parameters (Å, degrees): 3.2076 3.2076 18.6060 90.00 90.00 120.00
Atoms (fractional coordinates):
Hf (0.0000, 0.0000, 0.0000)
Hf (0.0000, 0.0000, 0.5000)
Hf (0.3333, 0.6667, 0.1397)
Hf (0.3333, 0.6667, 0.3603)
Hf (0.6667, 0.3333, 0.6397)
Hf (0.6667, 0.3333, 0.8603)
Cu (0.0000, 0.0000, 0.2500)
Cu (0.0000, 0.0000, 0.7500)
N (0.3333, 0.6667, 0.5706)
N (0.3333, 0.6667, 0.9294)
N (0.6667, 0.3333, 0.0706)
N (0.6667, 0.3333, 0.4294)